[1]
# Tm12TcPb6 | Alexandria | GGA-PBE | relaxed
data_Tm12TcPb6
_symmetry_space_group_name_H-M 'R -3'
_symmetry_Int_Tables_number 148
_symmetry_space_group_name_Hall '-R 3'
_cell_length_a 12.8404
_cell_length_b 12.8404
_cell_length_c 12.2760
_cell_angle_alpha 90.00
_cell_angle_beta 90.00
_cell_angle_gamma 120.00
loop_
_atom_site_label
_atom_site_type_symbol
_atom_site_fract_x
_atom_site_fract_y
_atom_site_fract_z
_atom_site_occupancy
Tm1 Tm 0.0271 0.1806 0.3892 1
Tm2 Tm 0.0816 0.1914 0.8758 1
Tc1 Tc 0.0000 0.0000 0.0000 1
Pb1 Pb 0.0374 0.4123 0.2942 1
# Fermi-level density of states   43.13 states/eV/cell
# ΔE_f   -169 meV/atom

---

[2]
# Cu4Te2S | Alexandria | GGA-PBE | relaxed
data_Cu4Te2S
_symmetry_space_group_name_H-M 'P 1 21/m 1'
_symmetry_Int_Tables_number 11
_symmetry_space_group_name_Hall '-P 2yb'
_cell_length_a 6.196
_cell_length_b 6.066
_cell_length_c 7.932
_cell_angle_alpha 90.00
_cell_angle_beta 112.15
_cell_angle_gamma 90.00
loop_
_atom_site_label
_atom_site_type_symbol
_atom_site_fract_x
_atom_site_fract_y
_atom_site_fract_z
_atom_site_occupancy
Cu1 Cu 0.114 0.044 0.189 1
Cu2 Cu 0.279 0.250 0.526 1
Cu3 Cu 0.288 0.750 0.008 1
Te1 Te 0.148 0.750 0.651 1
Te2 Te 0.261 0.250 0.954 1
S1 S 0.347 0.750 0.313 1
# Fermi-level density of states   8.14 states/eV/cell
# Raw formation energy   -0.070 eV/f.u.
# Offset from the most stable computed form   0.000 eV/atom

---

no.,E_tot (Ha/atom)
1,-0.173
2,-0.141